Entry 1:
Below is YHfO after structural relaxation, with properties calculated at the PBE-GGA level.

```
12
Lattice="7.080 0.000 0.000 -3.540 6.335 0.000 0.000 0.000 5.174" Properties=species:S:1:pos:R:3 pbc="T T T"
O 3.540 2.016 1.294
O 3.540 4.320 3.881
O 0.000 4.320 3.881
O 0.000 2.016 1.294
Hf 1.770 0.878 1.294
Hf -1.770 5.457 3.881
Hf 1.770 5.457 3.881
Hf 5.310 0.878 1.294
Y 3.540 4.290 1.294
Y 3.540 2.045 3.881
Y 0.000 2.045 3.881
Y 0.000 4.290 1.294
```

Values from the calculation:
Magnetization, Bohr magnetons per cell: 0.000
DFT total energy, eV/cell: -107.190
ΔE_f (raw), eV per atom: -1.807
SG: No. 51

---

Entry 2:
Below is CdHgRu after structural relaxation, with properties calculated at the PBE-GGA level.

```
3
Lattice="-2.266 4.117 2.280 -4.200 2.351 -2.030 2.097 -4.443 1.774" Properties=species:S:1:pos:R:3 pbc="T T T"
Cd -0.047 0.047 0.002
Hg -2.116 2.116 0.082
Ru -4.304 4.305 0.167
```

Values from the calculation:
Magnetization, Bohr magnetons per cell: 0.816
Relative energy among the computed polymorphs, eV per atom: 0.0532
ΔE_f, eV/atom: 0.472
DFT total energy, eV/cell: -9.078
SG: No. 44

---

Entry 3:
Below is Dy2Y7Er4 after structural relaxation, with properties calculated at the PBE-GGA level.

```
13
Lattice="14.527 -1.453 0.209 -7.685 5.404 -0.030 0.765 -0.004 6.097" Properties=species:S:1:pos:R:3 pbc="T T T"
Dy 7.804 0.651 1.071
Dy -0.197 3.295 5.205
Y -3.562 4.347 5.636
Y 11.169 -0.400 0.641
Y 0.000 0.000 0.000
Y 9.858 0.126 3.895
Y -2.251 3.820 2.381
Y 4.452 1.708 1.515
Y 3.155 2.238 4.761
Er 13.244 -0.925 3.482
Er -5.637 4.871 2.795
Er 6.521 1.192 4.340
Er 1.086 2.754 1.937
```

Values from the calculation:
Magnetization, Bohr magnetons per cell: 0.000
ΔE_f, eV/atom: 0.022
DFT total energy, eV/cell: -72.423
SG: No. 2

---

Entry 4:
Below is LaReAu2 after structural relaxation, with properties calculated at the PBE-GGA level.

```
4
Lattice="2.986 0.007 0.000 -0.007 2.986 0.000 0.000 0.000 8.959" Properties=species:S:1:pos:R:3 pbc="T T T"
Au 0.000 0.000 8.850
Au 1.490 1.497 2.029
La 0.000 0.000 4.521
Re 1.490 1.497 6.998
```

Values from the calculation:
Magnetization, Bohr magnetons per cell: 0.000
Relative energy among the computed polymorphs, eV per atom: 0.1287
ΔE_f, eV/atom: 0.289
DFT total energy, eV/cell: -22.773
SG: No. 99

---

Entry 5:
Below is CsNd2Te6Pb3 after structural relaxation, with properties calculated at the PBE-GGA level.

```
12
Lattice="-2.271 -0.653 -3.929 -5.779 -6.504 4.421 -3.974 8.981 3.480" Properties=species:S:1:pos:R:3 pbc="T T T"
Cs -1.136 -0.326 -1.965
Nd -8.255 1.155 1.904
Nd -3.769 0.668 2.068
Te -8.327 -0.277 4.859
Te -6.252 -1.261 1.148
Te -3.697 2.101 -0.887
Te -1.783 -1.595 1.295
Te -10.241 3.419 2.676
Te -5.772 3.084 2.824
Pb -4.025 -3.579 0.246
Pb -5.523 4.566 -0.241
Pb -6.501 -2.743 4.213
```

Values from the calculation:
Magnetization, Bohr magnetons per cell: 0.000
DFT total energy, eV/cell: -50.041
ΔE_f (raw), eV per atom: -0.806
SG: No. 12

---

Entry 6:
Below is Pr6SnHg2 after structural relaxation, with properties calculated at the PBE-GGA level.

```
18
Lattice="-5.632 -6.794 2.544 1.294 0.900 -9.048 8.658 -1.301 2.774" Properties=species:S:1:pos:R:3 pbc="T T T"
Pr 5.001 -3.927 -2.860
Pr -0.680 -3.268 -0.870
Pr 6.816 -1.461 -0.139
Pr -2.495 -5.735 -3.591
Pr 1.430 -5.527 -3.314
Pr 2.890 -1.668 -0.416
Pr 8.240 -1.883 -3.789
Pr -3.919 -5.312 0.059
Pr 2.289 -5.397 0.163
Pr 2.032 -1.798 -3.893
Pr 5.468 -1.936 -6.059
Pr -1.147 -5.259 2.329
Sn 4.976 -0.201 -3.137
Sn 0.000 0.000 0.000
Hg 5.178 -4.195 0.348
Hg -0.858 -3.000 -4.078
Hg 1.970 -5.269 3.462
Hg 1.056 -2.826 1.856
```

Values from the calculation:
Magnetization, Bohr magnetons per cell: 0.001
ΔE_f, eV/atom: -0.327
DFT total energy, eV/cell: -72.452
SG: No. 71

---

Entry 7:
Below is BaDyMgPb after structural relaxation, with properties calculated at the PBE-GGA level.

```
4
Lattice="-3.384 -3.232 -3.271 2.003 -2.217 -4.865 0.939 -5.617 -0.404" Properties=species:S:1:pos:R:3 pbc="T T T"
Pb 0.000 0.000 0.000
Mg -0.221 -5.533 -4.270
Ba -0.110 -2.767 -2.135
Dy -0.331 -8.300 -6.405
```

Values from the calculation:
Magnetization, Bohr magnetons per cell: 0.000
ΔE_f, eV/atom: -0.201
DFT total energy, eV/cell: -12.633
SG: No. 216

---

Entry 8:
Below is CsSrAs2Pb after structural relaxation, with properties calculated at the PBE-GGA level.

```
5
Lattice="5.736 0.000 0.000 0.000 6.152 0.000 0.000 0.000 5.736" Properties=species:S:1:pos:R:3 pbc="T T T"
Pb 2.868 3.076 2.868
Cs 0.000 0.000 0.000
As 0.000 0.000 2.868
As 2.868 0.000 0.000
Sr 0.000 3.076 0.000
```

Values from the calculation:
Magnetization, Bohr magnetons per cell: 0.000
ΔE_f, eV/atom: 0.969
DFT total energy, eV/cell: -10.696
SG: No. 123

---

Entry 9:
Below is TaTe2ICl after structural relaxation, with properties calculated at the PBE-GGA level.

```
5
Lattice="5.418 0.000 0.000 0.000 5.418 0.000 0.000 0.000 5.260" Properties=species:S:1:pos:R:3 pbc="T T T"
I 0.000 0.000 2.630
Cl 0.000 0.000 0.000
Te 0.000 2.709 0.000
Te 2.709 0.000 0.000
Ta 2.709 2.709 2.630
```

Values from the calculation:
Magnetization, Bohr magnetons per cell: 2.071
Relative energy among the computed polymorphs, eV per atom: 1.3314
DFT total energy, eV/cell: -14.531
ΔE_f (raw), eV per atom: 1.400
SG: No. 123

---

Entry 10:
Below is Mg2FeAs after structural relaxation, with properties calculated at the PBE-GGA level.

```
8
Lattice="9.728 0.000 0.000 0.000 9.728 0.000 4.864 4.864 2.169" Properties=species:S:1:pos:R:3 pbc="T T T"
Mg 4.859 2.432 0.542
Mg 4.870 7.296 0.542
Mg 7.296 9.734 1.626
Mg 12.161 9.723 1.626
As 0.000 0.000 0.000
As 9.728 4.864 1.084
Fe 4.864 4.864 0.000
Fe 4.864 9.728 1.084
```

Values from the calculation:
Magnetization, Bohr magnetons per cell: 0.000
ΔE_f, eV/atom: 0.128
DFT total energy, eV/cell: -31.580
SG: No. 122

---

Entry 11:
Below is Pm3NdDy2Y6 after structural relaxation, with properties calculated at the PBE-GGA level.

```
12
Lattice="-5.403 2.488 -1.855 2.066 -5.263 -2.619 -4.552 -5.330 9.584" Properties=species:S:1:pos:R:3 pbc="T T T"
Pm -1.457 -6.635 2.301
Pm -6.432 -1.471 2.810
Pm -3.945 -4.053 2.555
Nd 0.000 0.000 0.000
Dy -0.424 -2.679 -2.364
Dy -2.913 -0.096 -2.110
Y -7.168 -4.791 3.975
Y -3.633 -3.406 -0.969
Y -0.721 -3.314 1.136
Y -4.675 -7.379 3.720
Y -4.256 -4.700 6.080
Y -3.214 -0.726 1.391
```

Values from the calculation:
Magnetization, Bohr magnetons per cell: 0.000
ΔE_f, eV/atom: 0.015
DFT total energy, eV/cell: -66.833
SG: No. 12

---

Entry 12:
Below is PaFeNi6 after structural relaxation, with properties calculated at the PBE-GGA level.

```
8
Lattice="3.613 0.000 0.000 0.000 3.613 0.000 0.000 0.000 8.545" Properties=species:S:1:pos:R:3 pbc="T T T"
Pa 0.000 0.000 0.000
Fe 0.000 0.000 4.273
Ni 1.806 0.000 5.805
Ni 0.000 1.806 5.805
Ni 1.806 1.806 1.163
Ni 1.806 1.806 7.383
Ni 0.000 1.806 2.740
Ni 1.806 0.000 2.740
```

Values from the calculation:
Magnetization, Bohr magnetons per cell: 4.043
ΔE_f, eV/atom: 0.007
DFT total energy, eV/cell: -52.589
SG: No. 123

---

Which of these has the highest DFT total energy? CdHgRu

---

The highest magnetization belongs to which entry? PaFeNi6

---

Among the records above, which one has the lowest DFT total energy? YHfO